VASP calculation (meta-GGA SCAN) on a PBEsol-optimized structure of VFe3Sb2P6O24.

a b c (Å): 8.6188 8.6188 8.7517
angles (deg): 60.50 60.50 60.00
Last column: nearest neighbours and their distance in Å.
Atoms (fractional coordinates):
P: 0.7523 0.0453 0.7470  4 O 1.52-1.56
O: 0.0809 0.9403 0.2449  1 P 1.58
O: 0.0136 0.6165 0.5699  1 P 1.52
O: 0.1872 0.0063 0.4247  1 P 1.54
O: 0.2648 0.9204 0.7422  1 P 1.56
O: 0.4835 0.7062 0.9259  1 P 1.53
O: 0.6165 0.8000 0.5699  1 P 1.52
P: 0.9614 0.5386 0.2490  4 O 1.52-1.58
O: 0.4146 0.7679 0.2619  1 P 1.55
O: 0.3060 0.1149 0.0688  1 P 1.52
O: 0.4351 0.5837 0.7438  1 P 1.56
O: 0.1149 0.5102 0.0688  1 P 1.52
O: 0.8845 0.4835 0.9259  1 P 1.53
O: 0.7679 0.5557 0.2619  1 P 1.55
O: 0.9204 0.0726 0.7422  1 P 1.56
O: 0.0063 0.3818 0.4247  1 P 1.54
Fe: 0.6506 0.6506 0.0481  6 O 1.94-2.17
O: 0.8000 0.0136 0.5699  1 P 1.52
O: 0.5102 0.3060 0.0688  1 P 1.52
Sb: 0.4979 0.4979 0.5063  6 O 2.27-2.33
V: 0.1452 0.1452 0.5644  6 O 1.91-1.96
P: 0.2510 0.9614 0.2490  4 O 1.52-1.58
O: 0.7338 0.0809 0.2449  1 P 1.58
O: 0.0726 0.2648 0.7422  1 P 1.56
Sb: 0.9882 0.9882 0.0353  3 O 2.13
O: 0.5837 0.2373 0.7438  1 P 1.56
O: 0.3818 0.1872 0.4247  1 P 1.54
P: 0.5386 0.2510 0.2490  4 O 1.52-1.58
P: 0.0453 0.4554 0.7470  4 O 1.52-1.56
O: 0.9403 0.7338 0.2449  1 P 1.58
P: 0.4554 0.7523 0.7470  4 O 1.52-1.56
O: 0.7062 0.8845 0.9259  1 P 1.53
O: 0.5557 0.4146 0.2619  1 P 1.55
O: 0.2373 0.4351 0.7438  1 P 1.56
Fe: 0.8455 0.8455 0.4635  3 O 1.88
Fe: 0.3506 0.3506 0.9482  6 O 1.91-2.10

Its size of the total moment is 15.84 μB per formula unit. As for the uncorrected formation energy: -77.613 eV/f.u. For the volume, the calculation gives 12.865 Å³/atom.